Entry 1:
# Zn2AsSe PBE optimized geometry
data_Zn2AsSe
_chemical_formula_sum 'Zn2 As1 Se1'
_cell_length_a 3.6389
_cell_length_b 3.7249
_cell_length_c 5.9783
_cell_angle_alpha 90.00
_cell_angle_beta 90.00
_cell_angle_gamma 90.00
_symmetry_space_group_name_H-M 'P m m m'
_symmetry_Int_Tables_number 47
_symmetry_space_group_name_Hall '-P 2 2'
loop_
_atom_site_label
_atom_site_fract_x
_atom_site_fract_y
_atom_site_fract_z
Zn1 0.0000 0.0000 0.0000
Zn2 0.0000 0.5000 0.5000
As1 0.5000 0.0000 0.5000
Se1 0.5000 0.5000 0.0000
# Raw total energy ... -0.0936 Ha/atom
# Raw formation energy ... 0.124 eV/atom

=====

Entry 2:
# Ba3Tl4Hg2 PBE optimized geometry
data_Ba3Tl4Hg2
_chemical_formula_sum 'Ba6 Tl8 Hg4'
_cell_length_a 12.5249
_cell_length_b 5.3315
_cell_length_c 10.2010
_cell_angle_alpha 90.00
_cell_angle_beta 112.83
_cell_angle_gamma 90.00
_symmetry_space_group_name_H-M 'C 1 2/m 1'
_symmetry_Int_Tables_number 12
_symmetry_space_group_name_Hall '-C 2y'
loop_
_atom_site_label
_atom_site_fract_x
_atom_site_fract_y
_atom_site_fract_z
Ba1 0.0000 0.0000 0.0000
Ba2 0.1771 0.5000 0.6530
Tl1 0.0197 0.0000 0.3564
Tl2 0.2466 0.5000 0.0835
Hg1 0.0975 0.5000 0.2685
# Raw total energy ... -0.0802 Ha/atom
# ΔE_f ... -0.42 eV/atom

=====

Entry 3:
# PaZn17Ga PBE optimized geometry
data_PaZn17Ga
_chemical_formula_sum 'Pa3 Zn51 Ga3'
_cell_length_a 8.9650
_cell_length_b 8.9650
_cell_length_c 13.3029
_cell_angle_alpha 90.00
_cell_angle_beta 90.00
_cell_angle_gamma 120.00
_symmetry_space_group_name_H-M 'R 3 m'
_symmetry_Int_Tables_number 160
_symmetry_space_group_name_Hall 'R 3 -2"'
loop_
_atom_site_label
_atom_site_fract_x
_atom_site_fract_y
_atom_site_fract_z
Pa1 0.0000 0.0000 0.0000
Zn1 0.0000 0.0000 0.2380
Zn2 0.0000 0.0000 0.4388
Zn3 0.0011 0.5005 0.1866
Zn4 0.0057 0.5028 0.4938
Zn5 0.0098 0.3133 0.3358
Zn6 0.0099 0.5050 0.8295
Ga1 0.0000 0.0000 0.7412
# Raw total energy ... -0.0672 Ha/atom
# ΔE_f ... -0.03 eV/atom

=====

Entry 4:
# MgSbPS2 PBE optimized geometry
data_MgSbPS2
_chemical_formula_sum 'Mg1 Sb1 P1 S2'
_cell_length_a 4.7369
_cell_length_b 4.7369
_cell_length_c 4.8861
_cell_angle_alpha 90.00
_cell_angle_beta 90.00
_cell_angle_gamma 90.00
_symmetry_space_group_name_H-M 'P 4/m m m'
_symmetry_Int_Tables_number 123
_symmetry_space_group_name_Hall '-P 4 2'
loop_
_atom_site_label
_atom_site_fract_x
_atom_site_fract_y
_atom_site_fract_z
Mg1 0.0000 0.0000 0.0000
Sb1 0.5000 0.5000 0.5000
P1 0.0000 0.0000 0.5000
S1 0.0000 0.5000 0.0000
# Raw total energy ... -0.1281 Ha/atom
# Raw formation energy ... 0.390 eV/atom

=====

Entry 5:
# Pr3Dy2Y6Er PBE optimized geometry
data_Pr3Dy2Y6Er
_chemical_formula_sum 'Pr6 Dy4 Y12 Er2'
_cell_length_a 6.2418
_cell_length_b 10.8049
_cell_length_c 11.8782
_cell_angle_alpha 90.00
_cell_angle_beta 100.05
_cell_angle_gamma 90.00
_symmetry_space_group_name_H-M 'C 1 2/m 1'
_symmetry_Int_Tables_number 12
_symmetry_space_group_name_Hall '-C 2y'
loop_
_atom_site_label
_atom_site_fract_x
_atom_site_fract_y
_atom_site_fract_z
Pr1 0.0000 0.0000 0.0000
Pr2 0.0000 0.3334 0.0000
Dy1 0.0000 0.1666 0.5000
Y1 0.2483 0.3334 0.7455
Y2 0.2486 0.0000 0.7456
Er1 0.0000 0.5000 0.5000
# Raw total energy ... -0.2041 Ha/atom
# ΔE_f ... 0.02 eV/atom

=====

Entry 6:
# ReAg2Pt PBE optimized geometry
data_ReAg2Pt
_chemical_formula_sum 'Re2 Ag4 Pt2'
_cell_length_a 2.7972
_cell_length_b 4.7357
_cell_length_c 9.9601
_cell_angle_alpha 90.00
_cell_angle_beta 90.00
_cell_angle_gamma 90.00
_symmetry_space_group_name_H-M 'C m m m'
_symmetry_Int_Tables_number 65
_symmetry_space_group_name_Hall '-C 2 2'
loop_
_atom_site_label
_atom_site_fract_x
_atom_site_fract_y
_atom_site_fract_z
Re1 0.0000 0.0000 0.0000
Ag1 0.0000 0.5000 0.2507
Pt1 0.0000 0.0000 0.5000
# Raw total energy ... -0.2083 Ha/atom
# ΔE_f ... 0.38 eV/atom

=====

Entry 7:
# PdRh2Pb PBE optimized geometry
data_PdRh2Pb
_chemical_formula_sum 'Pd1 Rh2 Pb1'
_cell_length_a 4.1347
_cell_length_b 4.1347
_cell_length_c 3.8813
_cell_angle_alpha 90.00
_cell_angle_beta 90.00
_cell_angle_gamma 90.00
_symmetry_space_group_name_H-M 'P 4/m m m'
_symmetry_Int_Tables_number 123
_symmetry_space_group_name_Hall '-P 4 2'
loop_
_atom_site_label
_atom_site_fract_x
_atom_site_fract_y
_atom_site_fract_z
Pd1 0.0000 0.0000 0.0000
Rh1 0.0000 0.5000 0.5000
Pb1 0.5000 0.5000 0.0000
# Raw total energy ... -0.2169 Ha/atom
# ΔE_f ... 0.00 eV/atom

=====

Entry 8:
# Er2Pu2Sc7 PBE optimized geometry
data_Er2Pu2Sc7
_chemical_formula_sum 'Er4 Pu4 Sc14'
_cell_length_a 10.2852
_cell_length_b 7.6172
_cell_length_c 7.6546
_cell_angle_alpha 90.00
_cell_angle_beta 104.21
_cell_angle_gamma 90.00
_symmetry_space_group_name_H-M 'C 1 2/m 1'
_symmetry_Int_Tables_number 12
_symmetry_space_group_name_Hall '-C 2y'
loop_
_atom_site_label
_atom_site_fract_x
_atom_site_fract_y
_atom_site_fract_z
Er1 0.0450 0.0000 0.3091
Pu1 0.0000 0.3112 0.0000
Sc1 0.0000 0.5000 0.5000
Sc2 0.2239 0.2061 0.6802
Sc3 0.2295 0.0000 0.0318
# Raw total energy ... -0.2655 Ha/atom
# ΔE_f ... 0.24 eV/atom

=====

Entry 9:
# KH2Ir PBE optimized geometry
data_KH2Ir
_chemical_formula_sum 'K4 H8 Ir4'
_cell_length_a 5.9015
_cell_length_b 5.9015
_cell_length_c 5.9015
_cell_angle_alpha 90.00
_cell_angle_beta 90.00
_cell_angle_gamma 90.00
_symmetry_space_group_name_H-M 'F m -3 m'
_symmetry_Int_Tables_number 225
_symmetry_space_group_name_Hall '-F 4 2 3'
loop_
_atom_site_label
_atom_site_fract_x
_atom_site_fract_y
_atom_site_fract_z
K1 0.0000 0.0000 0.0000
H1 0.2500 0.2500 0.2500
Ir1 0.0000 0.0000 0.5000
# Raw total energy ... -0.1056 Ha/atom

=====

Entry 10:
# La2YAs PBE optimized geometry
data_La2YAs
_chemical_formula_sum 'La4 Y2 As2'
_cell_length_a 6.3744
_cell_length_b 8.9773
_cell_length_c 3.9818
_cell_angle_alpha 90.00
_cell_angle_beta 90.00
_cell_angle_gamma 90.00
_symmetry_space_group_name_H-M 'C m m m'
_symmetry_Int_Tables_number 65
_symmetry_space_group_name_Hall '-C 2 2'
loop_
_atom_site_label
_atom_site_fract_x
_atom_site_fract_y
_atom_site_fract_z
La1 0.2500 0.2500 0.0000
Y1 0.0000 0.0000 0.5000
As1 0.0000 0.5000 0.5000
# Raw total energy ... -0.2088 Ha/atom
# ΔE_f ... -0.44 eV/atom

=====

Entry 11:
# RbSi3Os PBE optimized geometry
data_RbSi3Os
_chemical_formula_sum 'Rb1 Si3 Os1'
_cell_length_a 4.7829
_cell_length_b 4.7829
_cell_length_c 4.7829
_cell_angle_alpha 90.00
_cell_angle_beta 90.00
_cell_angle_gamma 90.00
_symmetry_space_group_name_H-M 'P m -3 m'
_symmetry_Int_Tables_number 221
_symmetry_space_group_name_Hall '-P 4 2 3'
loop_
_atom_site_label
_atom_site_fract_x
_atom_site_fract_y
_atom_site_fract_z
Rb1 0.0000 0.0000 0.0000
Si1 0.0000 0.5000 0.5000
Os1 0.5000 0.5000 0.5000
# Raw total energy ... -0.1917 Ha/atom
# Raw formation energy ... 0.476 eV/atom

=====

Entry 12:
# ErCd6Ag3 PBE optimized geometry
data_ErCd6Ag3
_chemical_formula_sum 'Er4 Cd24 Ag12'
_cell_length_a 11.0843
_cell_length_b 11.8363
_cell_length_c 6.8287
_cell_angle_alpha 90.00
_cell_angle_beta 90.00
_cell_angle_gamma 90.00
_symmetry_space_group_name_H-M 'C m c 21'
_symmetry_Int_Tables_number 36
_symmetry_space_group_name_Hall 'C 2c -2'
loop_
_atom_site_label
_atom_site_fract_x
_atom_site_fract_y
_atom_site_fract_z
Er1 0.0000 0.2257 0.0000
Cd1 0.0000 0.1965 0.5126
Cd2 0.0000 0.4359 0.6763
Cd3 0.2115 0.0305 0.5234
Cd4 0.2292 0.3029 0.6991
Ag1 0.0000 0.0042 0.2624
Ag2 0.1307 0.3774 0.3119
# Raw total energy ... -0.0691 Ha/atom
# ΔE_f ... -0.02 eV/atom

=====

Among the records above, which one has the lowest raw total energy? Er2Pu2Sc7